VASP calculation (GGA-PBE) on an optimized crystal structure of ErPtPb2O6.

a = 5.8213 Å, b = 5.8715 Å, c = 10.0956 Å
α = 90.00°, β = 125.10°, γ = 90.00°
Positions (direct):
Er (0.0000, 0.0000, 0.0000)
Er (0.0000, 0.5000, 0.5000)
Pt (0.5000, 0.0000, 0.5000)
Pt (0.5000, 0.5000, 0.0000)
Pb (0.2595, 0.0349, 0.7520)
Pb (0.2595, 0.4651, 0.2520)
Pb (0.7405, 0.5349, 0.7480)
Pb (0.7405, 0.9651, 0.2480)
O (0.1799, 0.0226, 0.2635)
O (0.1799, 0.4774, 0.7635)
O (0.2703, 0.7000, 0.0447)
O (0.2703, 0.8000, 0.5447)
O (0.3474, 0.2219, 0.0416)
O (0.3474, 0.2781, 0.5416)
O (0.6526, 0.7219, 0.4584)
O (0.6526, 0.7781, 0.9584)
O (0.7297, 0.2000, 0.4553)
O (0.7297, 0.3000, 0.9553)
O (0.8201, 0.5226, 0.2365)
O (0.8201, 0.9774, 0.7365)

Results
* density: 10.27 g/cm3
* SG: P2_1/c, No. 14
* total magnetization: 0.0 μB per formula unit
* formation energy (no corrections): -1497 meV/atom
* crystal system: monoclinic
* V: 14.1 A^3/atom